Material: VSiBF2
Method: DFT, GGA+U
State: optimized geometry Values from VASP.

Calculated values
* DFT total energy: -4.581 eV/atom
* total magnetic moment: 2.52 μB/cell
* mass density: 3.0 Mg/m³

Quantum ESPRESSO input file:
```
&SYSTEM
  ibrav = 0, nat = 5, ntyp = 4
/
ATOMIC_SPECIES
V 50.94 V.upf
Si 28.09 Si.upf
B 10.81 B.upf
F 19.00 F.upf
CELL_PARAMETERS angstrom
3.385 0.000 0.000
0.000 3.385 0.000
0.000 0.000 6.101
ATOMIC_POSITIONS crystal
V 0.000 0.000 0.000
Si 0.500 0.500 0.000
B 0.000 0.000 0.500
F 0.000 0.500 0.500
F 0.500 0.000 0.500
```